[1]
BSO: optimized geometry, PBE.

Computed properties:
Crystal system: monoclinic
Symmetry: C2/m (12)
Formation energy from raw total energies: -860 meV/atom
M_tot: 0.0 μB/cell
Energy above the most stable polymorph in this dataset: 541 meV per atom

Unit cell a=4.368 b=2.683 c=12.225 alpha=90.00 beta=96.77 gamma=90.00
Sites, in units of the cell vectors:
B (0.217, 0.000, 0.188)
B (0.283, 0.500, 0.812)
B (0.717, 0.500, 0.188)
B (0.783, 0.000, 0.812)
S (0.222, 0.500, 0.660)
S (0.278, 0.000, 0.340)
S (0.722, 0.000, 0.660)
S (0.778, 0.500, 0.340)
O (0.126, 0.000, 0.857)
O (0.374, 0.500, 0.143)
O (0.626, 0.500, 0.857)
O (0.874, 0.000, 0.143)

[2]
YHo9Tl2: optimized geometry, PBE.

Computed properties:
Crystal system: tetragonal
Energy of formation from the pure elements: -0.105 eV per atom
Symmetry: P4/mmm (123)
M_tot: 0.0 μB/cell

Unit cell a=4.853 b=4.853 c=14.937 alpha=90.00 beta=90.00 gamma=90.00
Sites, in units of the cell vectors:
Y (0.000, 0.000, 0.000)
Ho (0.000, 0.500, 0.172)
Ho (0.000, 0.500, 0.500)
Ho (0.000, 0.500, 0.828)
Ho (0.500, 0.000, 0.172)
Ho (0.500, 0.000, 0.500)
Ho (0.500, 0.000, 0.828)
Ho (0.500, 0.500, 0.000)
Ho (0.500, 0.500, 0.337)
Ho (0.500, 0.500, 0.663)
Tl (0.000, 0.000, 0.340)
Tl (0.000, 0.000, 0.660)

[3]
Pm2Pr4Dy2Y: optimized geometry, PBE.

Computed properties:
Crystal system: monoclinic
Energy of formation from the pure elements: 0.020 eV per atom
Symmetry: C2/m (12)
M_tot: 0.0 μB/cell

Unit cell a=8.177 b=8.177 c=8.134 alpha=107.61 beta=107.61 gamma=36.87
Sites, in units of the cell vectors:
Pm (0.112, 0.112, 0.170)
Pm (0.888, 0.888, 0.830)
Pr (0.222, 0.222, 0.831)
Pr (0.445, 0.445, 0.169)
Pr (0.555, 0.555, 0.831)
Pr (0.778, 0.778, 0.169)
Dy (0.333, 0.333, 0.500)
Dy (0.667, 0.667, 0.500)
Y (0.000, 0.000, 0.500)

[4]
Pa2ReSi2: optimized geometry, PBE.

Computed properties:
Crystal system: tetragonal
Symmetry: P4/mbm (127)
Formation energy from raw total energies: -555 meV/atom
M_tot: 0.0 μB/cell
Energy above the most stable polymorph in this dataset: 0 meV per atom

Unit cell a=6.560 b=6.560 c=4.430 alpha=90.00 beta=90.00 gamma=90.00
Sites, in units of the cell vectors:
Pa (0.174, 0.326, 0.000)
Pa (0.326, 0.826, 0.000)
Pa (0.674, 0.174, 0.000)
Pa (0.826, 0.674, 0.000)
Re (0.000, 0.000, 0.500)
Re (0.500, 0.500, 0.500)
Si (0.130, 0.630, 0.500)
Si (0.370, 0.130, 0.500)
Si (0.630, 0.870, 0.500)
Si (0.870, 0.370, 0.500)

[5]
PuZrTiMo: optimized geometry, PBE.

Computed properties:
Crystal system: cubic
Energy of formation from the pure elements: 0.189 eV per atom
Symmetry: F-43m (216)
M_tot: 21.5 μB/cell

Unit cell a=6.765 b=6.765 c=6.765 alpha=90.00 beta=90.00 gamma=90.00
Sites, in units of the cell vectors:
Pu (0.000, 0.000, 0.000)
Pu (0.000, 0.500, 0.500)
Pu (0.500, 0.000, 0.500)
Pu (0.500, 0.500, 0.000)
Zr (0.250, 0.250, 0.750)
Zr (0.250, 0.750, 0.250)
Zr (0.750, 0.250, 0.250)
Zr (0.750, 0.750, 0.750)
Ti (0.250, 0.250, 0.250)
Ti (0.250, 0.750, 0.750)
Ti (0.750, 0.250, 0.750)
Ti (0.750, 0.750, 0.250)
Mo (0.000, 0.000, 0.500)
Mo (0.000, 0.500, 0.000)
Mo (0.500, 0.000, 0.000)
Mo (0.500, 0.500, 0.500)

[6]
La2SmPaN5: optimized geometry, PBE.

Computed properties:
Crystal system: tetragonal
Symmetry: P4/mmm (123)
Formation energy from raw total energies: -1140 meV/atom
M_tot: 0.1 μB/cell

Unit cell a=4.191 b=4.191 c=9.154 alpha=90.00 beta=90.00 gamma=90.00
Sites, in units of the cell vectors:
La (0.000, 0.000, 0.230)
La (0.000, 0.000, 0.770)
Sm (0.500, 0.500, 0.500)
Pa (0.500, 0.500, 0.000)
N (0.000, 0.000, 0.500)
N (0.000, 0.500, 0.000)
N (0.500, 0.000, 0.000)
N (0.500, 0.500, 0.252)
N (0.500, 0.500, 0.748)

[7]
Tb2Ge4Ir3: optimized geometry, PBE.

Computed properties:
Crystal system: orthorhombic
Energy of formation from the pure elements: -0.652 eV per atom
Symmetry: Fmmm (69)
M_tot: 0.0 μB/cell
Energy above the most stable polymorph in this dataset: 98 meV per atom

Unit cell a=7.865 b=6.786 c=5.600 alpha=78.20 beta=57.62 gamma=44.18
Sites, in units of the cell vectors:
Tb (0.131, 0.131, 0.869)
Tb (0.869, 0.869, 0.131)
Ge (0.173, 0.507, 0.493)
Ge (0.493, 0.827, 0.173)
Ge (0.507, 0.173, 0.827)
Ge (0.827, 0.493, 0.507)
Ir (0.000, 0.000, 0.500)
Ir (0.500, 0.500, 0.000)
Ir (0.500, 0.500, 0.500)

[8]
ErFe5P3: optimized geometry, PBE.

Computed properties:
Crystal system: orthorhombic
Energy of formation from the pure elements: -0.749 eV per atom
Symmetry: Pnma (62)
M_tot: 6.0 μB/cell
Energy above the most stable polymorph in this dataset: 0 meV per atom

Unit cell a=11.783 b=3.642 c=10.265 alpha=90.00 beta=90.00 gamma=90.00
Sites, in units of the cell vectors:
Er (0.204, 0.250, 0.080)
Er (0.296, 0.750, 0.580)
Er (0.704, 0.250, 0.420)
Er (0.796, 0.750, 0.920)
Fe (0.010, 0.750, 0.095)
Fe (0.011, 0.750, 0.708)
Fe (0.068, 0.750, 0.463)
Fe (0.176, 0.250, 0.780)
Fe (0.202, 0.250, 0.375)
Fe (0.298, 0.750, 0.875)
Fe (0.324, 0.750, 0.280)
Fe (0.432, 0.250, 0.963)
Fe (0.489, 0.250, 0.208)
Fe (0.490, 0.250, 0.595)
Fe (0.510, 0.750, 0.405)
Fe (0.511, 0.750, 0.792)
Fe (0.568, 0.750, 0.037)
Fe (0.676, 0.250, 0.720)
Fe (0.702, 0.250, 0.125)
Fe (0.798, 0.750, 0.625)
Fe (0.824, 0.750, 0.220)
Fe (0.932, 0.250, 0.537)
Fe (0.989, 0.250, 0.292)
Fe (0.990, 0.250, 0.905)
P (0.104, 0.750, 0.899)
P (0.113, 0.250, 0.577)
P (0.128, 0.750, 0.265)
P (0.372, 0.250, 0.765)
P (0.387, 0.750, 0.077)
P (0.396, 0.250, 0.399)
P (0.604, 0.750, 0.601)
P (0.613, 0.250, 0.923)
P (0.628, 0.750, 0.235)
P (0.872, 0.250, 0.735)
P (0.887, 0.750, 0.423)
P (0.896, 0.250, 0.101)